DFT (PBE-GGA) results for a relaxed structure of Sc3CuCN.

Cell and atoms, written as POSCAR:
```
Sc3CuCN
1.0
3.288 0.000 0.000
-1.644 2.848 0.000
0.000 0.000 18.436
Sc Cu C N
6 2 2 2
direct
0.000 0.000 0.000
0.000 0.000 0.500
0.333 0.667 0.133
0.333 0.667 0.362
0.667 0.333 0.638
0.667 0.333 0.867
0.000 0.000 0.243
0.000 0.000 0.757
0.333 0.667 0.578
0.667 0.333 0.422
0.333 0.667 0.928
0.667 0.333 0.072
```

Properties
spin magnetization = 0.001 μB/atom
DFT total energy = -7.49 eV/atom